Below is a relaxed structure of LiGdCu, with properties calculated at the PBE-GGA level.

Energy relative to the lowest polymorph listed for this composition ... 0.033 eV per formula unit
Fermi-level density of states ... 2.6 states/eV per cell
Volume ... 60.7 Å³/cell
DFT formation energy ... -14 meV per atom
Crystal system ... hexagonal

a = 4.4859 Å, b = 4.4859 Å, c = 3.4820 Å
α = 90.00°, β = 90.00°, γ = 120.00°
Space group P-6m2 (No. 187)
Inequivalent atoms, fractional coordinates:
Li1 0.0000 0.0000 0.0000 (multiplicity 1)
Gd1 0.3333 0.6667 0.5000 (multiplicity 1)
Cu1 0.6667 0.3333 0.0000 (multiplicity 1)